# Li3MnCo2O6

A relaxed structure of Li3MnCo2O6 (GGA+U, Alexandria via LeMat-Bulk).

D(E_F) (states/eV/cell): 1.832
DFT total energy (eV per atom): -5.95
SG: C2/m (12)

Cell lengths 5.1092, 5.1092, 5.1377 Å; angles 80.84, 80.84, 120.80 degrees
Fractional positions:
Li (0.6592, 0.3408, 0.5000)
Li (0.3408, 0.6592, 0.5000)
Li (0.0000, 0.0000, 0.5000)
Mn (0.5000, 0.5000, 0.0000)
Co (0.1697, 0.8303, 0.0000)
Co (0.8303, 0.1697, 0.0000)
O (0.4233, 0.1102, 0.2284)
O (0.1102, 0.4233, 0.2284)
O (0.7430, 0.7430, 0.2250)
O (0.8898, 0.5767, 0.7716)
O (0.5767, 0.8898, 0.7716)
O (0.2570, 0.2570, 0.7750)